No. 1
# Nb2Te2MoSe4, relaxed, DFT PBE-GGA
data_Nb2Te2MoSe4
_symmetry_space_group_name_H-M 'P 1'
_symmetry_Int_Tables_number 1
_cell_length_a 3.5023
_cell_length_b 3.5023
_cell_length_c 21.7709
_cell_angle_alpha 90.00
_cell_angle_beta 90.00
_cell_angle_gamma 120.00
loop_
_symmetry_equiv_pos_as_xyz
'x,y,z'
loop_
_atom_site_label
_atom_site_fract_x
_atom_site_fract_y
_atom_site_fract_z
Nb1 0.0000 0.0000 0.9726
Nb2 0.6667 0.3333 0.6557
Te1 0.6667 0.3333 0.4150
Te2 0.6667 0.3333 0.2465
Mo1 0.0000 0.0000 0.3307
Se1 0.0000 0.0000 0.5787
Se2 0.6667 0.3333 0.0496
Se3 0.6667 0.3333 0.8957
Se4 0.0000 0.0000 0.7327
# **Uncorrected formation energy**: -0.664 eV per atom
# **SG**: P3m1 (156)

=====

No. 2
# Li2SbMo, relaxed, DFT PBE-GGA
data_Li2SbMo
_symmetry_space_group_name_H-M 'P 1'
_symmetry_Int_Tables_number 1
_cell_length_a 2.9052
_cell_length_b 4.3032
_cell_length_c 5.5062
_cell_angle_alpha 90.00
_cell_angle_beta 90.00
_cell_angle_gamma 90.00
loop_
_symmetry_equiv_pos_as_xyz
'x,y,z'
loop_
_atom_site_label
_atom_site_fract_x
_atom_site_fract_y
_atom_site_fract_z
Li1 0.0000 0.0000 0.0144
Li2 0.0000 0.0000 0.4856
Mo1 0.5000 0.5000 0.2500
Sb1 0.5000 0.5000 0.7500
# **Uncorrected formation energy**: 0.202 eV per atom
# **SG**: Pmmm (47)

=====

No. 3
# Pu2TiNi3Ge4, relaxed, DFT PBE-GGA
data_Pu2TiNi3Ge4
_symmetry_space_group_name_H-M 'P 1'
_symmetry_Int_Tables_number 1
_cell_length_a 4.0764
_cell_length_b 4.0764
_cell_length_c 10.3021
_cell_angle_alpha 90.00
_cell_angle_beta 90.00
_cell_angle_gamma 90.00
loop_
_symmetry_equiv_pos_as_xyz
'x,y,z'
loop_
_atom_site_label
_atom_site_fract_x
_atom_site_fract_y
_atom_site_fract_z
Pu1 0.5000 0.0000 0.2389
Pu2 0.0000 0.5000 0.7611
Ti1 0.5000 0.5000 0.5000
Ni1 0.0000 0.0000 0.5000
Ni2 0.5000 0.0000 0.8793
Ni3 0.0000 0.5000 0.1207
Ge1 0.5000 0.5000 0.0000
Ge2 0.0000 0.0000 0.0000
Ge3 0.5000 0.0000 0.6492
Ge4 0.0000 0.5000 0.3508
# **Energy of formation**: -0.50 eV per atom
# **SG**: P-4m2 (115)

=====

No. 4
# CsSbN2, relaxed, DFT PBE-GGA
data_CsSbN2
_symmetry_space_group_name_H-M 'P 1'
_symmetry_Int_Tables_number 1
_cell_length_a 7.6717
_cell_length_b 7.6717
_cell_length_c 7.6717
_cell_angle_alpha 36.27
_cell_angle_beta 36.27
_cell_angle_gamma 36.27
loop_
_symmetry_equiv_pos_as_xyz
'x,y,z'
loop_
_atom_site_label
_atom_site_fract_x
_atom_site_fract_y
_atom_site_fract_z
Cs1 0.5000 0.5000 0.5000
Sb1 0.0000 0.0000 0.0000
N1 0.9126 0.9126 0.9126
N2 0.0874 0.0874 0.0874
# **Uncorrected formation energy**: 0.951 eV per atom
# **SG**: R-3m (166)

=====

No. 5
# SrMo2Pb, relaxed, DFT PBE-GGA
data_SrMo2Pb
_symmetry_space_group_name_H-M 'P 1'
_symmetry_Int_Tables_number 1
_cell_length_a 5.4086
_cell_length_b 3.1471
_cell_length_c 5.6810
_cell_angle_alpha 87.73
_cell_angle_beta 90.00
_cell_angle_gamma 90.00
loop_
_symmetry_equiv_pos_as_xyz
'x,y,z'
loop_
_atom_site_label
_atom_site_fract_x
_atom_site_fract_y
_atom_site_fract_z
Mo1 0.0000 0.1078 0.9402
Mo2 0.0000 0.3922 0.5598
Pb1 0.5000 0.2500 0.2500
Sr1 0.5000 0.7500 0.7500
# **Energy of formation**: 0.86 eV per atom
# **SG**: P2/m (10)

=====

No. 6
# NbPd2Pt4, relaxed, DFT PBE-GGA
data_NbPd2Pt4
_symmetry_space_group_name_H-M 'P 1'
_symmetry_Int_Tables_number 1
_cell_length_a 5.6521
_cell_length_b 6.2470
_cell_length_c 8.4814
_cell_angle_alpha 107.16
_cell_angle_beta 120.28
_cell_angle_gamma 102.88
loop_
_symmetry_equiv_pos_as_xyz
'x,y,z'
loop_
_atom_site_label
_atom_site_fract_x
_atom_site_fract_y
_atom_site_fract_z
Nb1 0.2063 0.7112 0.5406
Nb2 0.0473 0.8292 0.9611
Pd1 0.4789 0.4164 0.6737
Pd2 0.9145 0.9780 0.3953
Pd3 0.6286 0.2707 0.2530
Pd4 0.9806 0.4113 0.6773
Pt1 0.1298 0.2723 0.2507
Pt2 0.3345 0.5607 0.1026
Pt3 0.7040 0.6996 0.5403
Pt4 0.7665 0.1138 0.8240
Pt5 0.4059 0.9802 0.3910
Pt6 0.2676 0.1190 0.8243
Pt7 0.5494 0.8355 0.9616
Pt8 0.8361 0.5521 0.1046
# **Energy of formation**: -0.41 eV per atom
# **SG**: P1 (1)

=====

No. 7
# Ce2ScGe4Ir3, relaxed, DFT PBE-GGA
data_Ce2ScGe4Ir3
_symmetry_space_group_name_H-M 'P 1'
_symmetry_Int_Tables_number 1
_cell_length_a 4.2149
_cell_length_b 4.2149
_cell_length_c 10.8745
_cell_angle_alpha 90.00
_cell_angle_beta 90.00
_cell_angle_gamma 90.00
loop_
_symmetry_equiv_pos_as_xyz
'x,y,z'
loop_
_atom_site_label
_atom_site_fract_x
_atom_site_fract_y
_atom_site_fract_z
Ce1 0.5000 0.0000 0.2354
Ce2 0.0000 0.5000 0.7646
Sc1 0.5000 0.5000 0.5000
Ge1 0.5000 0.5000 0.0000
Ge2 0.0000 0.0000 0.0000
Ge3 0.5000 0.0000 0.6514
Ge4 0.0000 0.5000 0.3486
Ir1 0.0000 0.0000 0.5000
Ir2 0.5000 0.0000 0.8771
Ir3 0.0000 0.5000 0.1229
# **Energy of formation**: -0.78 eV per atom
# **SG**: P-4m2 (115)

=====

No. 8
# Li2CaCdAu, relaxed, DFT PBE-GGA
data_Li2CaCdAu
_symmetry_space_group_name_H-M 'P 1'
_symmetry_Int_Tables_number 1
_cell_length_a 4.8935
_cell_length_b 4.8935
_cell_length_c 5.3156
_cell_angle_alpha 90.00
_cell_angle_beta 90.00
_cell_angle_gamma 90.00
loop_
_symmetry_equiv_pos_as_xyz
'x,y,z'
loop_
_atom_site_label
_atom_site_fract_x
_atom_site_fract_y
_atom_site_fract_z
Ca1 0.5000 0.5000 0.5000
Li1 0.0000 0.5000 0.0000
Li2 0.5000 0.0000 0.0000
Au1 0.0000 0.0000 0.0000
Cd1 0.0000 0.0000 0.5000
# **Energy of formation**: -0.21 eV per atom
# **SG**: P4/mmm (123)

=====

No. 9
# HgMo2Pb, relaxed, DFT PBE-GGA
data_HgMo2Pb
_symmetry_space_group_name_H-M 'P 1'
_symmetry_Int_Tables_number 1
_cell_length_a 9.9262
_cell_length_b 9.9262
_cell_length_c 9.9262
_cell_angle_alpha 18.63
_cell_angle_beta 18.63
_cell_angle_gamma 18.63
loop_
_symmetry_equiv_pos_as_xyz
'x,y,z'
loop_
_atom_site_label
_atom_site_fract_x
_atom_site_fract_y
_atom_site_fract_z
Hg1 0.7393 0.7393 0.7393
Mo1 0.9892 0.9892 0.9892
Mo2 0.2656 0.2656 0.2656
Pb1 0.5060 0.5060 0.5060
# **Energy of formation**: 0.40 eV per atom
# **SG**: R3m (160)

=====

No. 10
# Cs2UTe5Au, relaxed, DFT PBE-GGA
data_Cs2UTe5Au
_symmetry_space_group_name_H-M 'P 1'
_symmetry_Int_Tables_number 1
_cell_length_a 4.4236
_cell_length_b 11.8741
_cell_length_c 15.5346
_cell_angle_alpha 90.00
_cell_angle_beta 90.00
_cell_angle_gamma 100.74
loop_
_symmetry_equiv_pos_as_xyz
'x,y,z'
loop_
_atom_site_label
_atom_site_fract_x
_atom_site_fract_y
_atom_site_fract_z
Cs1 0.8772 0.7544 0.8246
Cs2 0.1289 0.2578 0.6994
Cs3 0.1228 0.2456 0.3246
Cs4 0.8711 0.7422 0.1994
U1 0.8000 0.6000 0.5124
U2 0.2000 0.4000 0.0124
Te1 0.3216 0.6432 0.0112
Te2 0.7076 0.4153 0.8812
Te3 0.5119 0.0237 0.8023
Te4 0.3014 0.6028 0.6426
Te5 0.9254 0.8508 0.5261
Te6 0.6784 0.3568 0.5112
Te7 0.2924 0.5847 0.3812
Te8 0.4881 0.9763 0.3023
Te9 0.6986 0.3972 0.1426
Te10 0.0746 0.1492 0.0261
Au1 0.5914 0.1829 0.9242
Au2 0.4086 0.8171 0.4242
# **Uncorrected formation energy**: -0.588 eV per atom
# **SG**: Cmc2_1 (36)

=====

Calculated total moment, 0.0 0.0 10.1 0.0 0.0 0.0 0.3 0.0 0.0 0.3 μB/f.u. (same order as the records).